Arrangement 1

Entry from Alexandria via LeMat-Bulk: YCu2Br at its PBEsol-relaxed geometry (SCAN).

abc: 4.0401 4.0401 19.1399
angles: 90.00 90.00 120.00
Space group R3m (No. 160, hexagonal axes)
One atom of each set of equivalent atoms:
1 Y 0.0000 0.0000 0.0000 [3 per cell]
2 Cu 0.0000 0.0000 0.2497 [3 per cell]
3 Cu 0.0000 0.0000 0.5746 [3 per cell]
4 Br 0.0000 0.0000 0.7610 [3 per cell]

size of the total moment	0.0	μB/f.u.
V	90.18	Å³/f.u.
N(E_F)	4.2	states/eV per cell
mass density	5.45	g/cm³

---

Arrangement 2

Entry from Alexandria via LeMat-Bulk: YCu2Br at its PBEsol-relaxed geometry (SCAN).

abc: 6.651 6.651 6.651
angles: 90.00 90.00 90.00
Space group F-43m (No. 216)
One atom of each set of equivalent atoms:
1 Y 0.000 0.000 0.000 [4 per cell]
2 Cu 0.000 0.000 0.500 [4 per cell]
3 Cu 0.250 0.250 0.250 [4 per cell]
4 Br 0.250 0.250 0.750 [4 per cell]

size of the total moment	0.0	μB/f.u.
V	73.54	Å³/f.u.
N(E_F)	3.9	states/eV per cell
mass density	6.68	g/cm³

---

It turns out arrangement 1 is the most stable, with the second structure 400 meV per atom higher.

---

Arrangement 1

Entry from Alexandria via LeMat-Bulk: ZnCuBr2 at its PBEsol-relaxed geometry (SCAN).

abc: 4.606 3.541 11.255
angles: 90.00 90.00 90.00
Space group Amm2 (No. 38)
One atom of each set of equivalent atoms:
1 Zn 0.000 0.000 0.000 [2 per cell]
2 Cu 0.000 0.000 0.658 [2 per cell]
3 Br 0.000 0.000 0.322 [2 per cell]
4 Br 0.500 0.000 0.584 [2 per cell]

size of the total moment	0.0	μB/f.u.
V	91.79	Å³/f.u.
N(E_F)	2.8	states/eV per cell
mass density	5.22	g/cm³

---

Arrangement 2

Entry from Alexandria via LeMat-Bulk: ZnCuBr2 at its PBEsol-relaxed geometry (SCAN).

abc: 7.365 7.288 3.800
angles: 90.00 119.95 90.00
Space group C2/m (No. 12)
One atom of each set of equivalent atoms:
1 Zn 0.000 0.000 0.000 [2 per cell]
2 Cu 0.000 0.500 0.000 [2 per cell]
3 Br 0.250 0.250 0.000 [4 per cell]

size of the total moment	0.0	μB/f.u.
V	88.38	Å³/f.u.
N(E_F)	1.9	states/eV per cell
mass density	5.43	g/cm³

---

Arrangement 3

Entry from Alexandria via LeMat-Bulk: ZnCuBr2 at its PBEsol-relaxed geometry (SCAN).

abc: 3.856 3.856 5.403
angles: 90.00 90.00 90.00
Space group P4/mmm (No. 123)
One atom of each set of equivalent atoms:
1 Zn 0.000 0.000 0.000 [1 per cell]
2 Cu 0.500 0.500 0.500 [1 per cell]
3 Br 0.000 0.000 0.500 [1 per cell]
4 Br 0.500 0.500 0.000 [1 per cell]

size of the total moment	0.0	μB/f.u.
V	80.34	Å³/f.u.
N(E_F)	1.1	states/eV per cell
mass density	5.97	g/cm³

---

It turns out arrangement 1 is the most stable, with the second structure 147 meV per atom higher.

---

Arrangement 1

Entry from Alexandria via LeMat-Bulk: ZrCuBr2 at its PBEsol-relaxed geometry (SCAN).

abc: 4.630 3.296 5.430
angles: 90.00 112.73 90.00
Space group P2/m (No. 10)
One atom of each set of equivalent atoms:
1 Zr 0.000 0.000 0.000 [1 per cell]
2 Cu 0.500 0.500 0.500 [1 per cell]
3 Br 0.000 0.000 0.500 [1 per cell]
4 Br 0.500 0.500 0.000 [1 per cell]

size of the total moment	0.0	μB/f.u.
V	76.44	Å³/f.u.
N(E_F)	2.0	states/eV per cell
mass density	6.83	g/cm³

---

Arrangement 2

Entry from Alexandria via LeMat-Bulk: ZrCuBr2 at its PBEsol-relaxed geometry (SCAN).

abc: 6.334 7.013 3.334
angles: 90.00 90.00 90.00
Space group Cmmm (No. 65)
One atom of each set of equivalent atoms:
1 Zr 0.000 0.000 0.000 [2 per cell]
2 Cu 0.000 0.500 0.000 [2 per cell]
3 Br 0.250 0.250 0.500 [4 per cell]

size of the total moment	0.6	μB/f.u.
V	74.05	Å³/f.u.
N(E_F)	3.8	states/eV per cell
mass density	7.05	g/cm³

---

It turns out arrangement 1 is the most stable, with the second structure 153 meV per atom higher.

---

Arrangement 1

Entry from Alexandria via LeMat-Bulk: PtBrF2 at its PBEsol-relaxed geometry (SCAN).

abc: 2.7871 2.7871 28.7336
angles: 90.00 90.00 120.00
Space group R-3m (No. 166, hexagonal axes)
One atom of each set of equivalent atoms:
1 Pt 0.0000 0.0000 0.0000 [3 per cell]
2 Br 0.0000 0.0000 0.5000 [3 per cell]
3 F 0.0000 0.0000 0.0660 [6 per cell]

size of the total moment	0.6	μB/f.u.
V	64.43	Å³/f.u.
N(E_F)	7.5	states/eV per cell
mass density	8.07	g/cm³

---

Arrangement 2

Entry from Alexandria via LeMat-Bulk: PtBrF2 at its PBEsol-relaxed geometry (SCAN).

abc: 2.8477 2.8477 25.3471
angles: 90.00 90.00 120.00
Space group R-3m (No. 166, hexagonal axes)
One atom of each set of equivalent atoms:
1 Pt 0.0000 0.0000 0.0000 [3 per cell]
2 Br 0.0000 0.0000 0.5000 [3 per cell]
3 F 0.0000 0.0000 0.4245 [6 per cell]

size of the total moment	1.0	μB/f.u.
V	59.34	Å³/f.u.
N(E_F)	3.8	states/eV per cell
mass density	8.76	g/cm³

---

It turns out arrangement 1 is the most stable, with the second structure 531 meV per atom higher.

---

Arrangement 1

Entry from Alexandria via LeMat-Bulk: RuBr2F at its PBEsol-relaxed geometry (SCAN).

abc: 6.496 6.496 7.746
angles: 90.00 90.00 90.00
Space group I-42d (No. 122)
One atom of each set of equivalent atoms:
1 Ru 0.000 0.000 0.000 [4 per cell]
2 Br 0.215 0.250 0.125 [8 per cell]
3 F 0.000 0.000 0.500 [4 per cell]

size of the total moment	0.0	μB/f.u.
V	81.73	Å³/f.u.
N(E_F)	14.7	states/eV per cell
mass density	5.69	g/cm³

---

Arrangement 2

Entry from Alexandria via LeMat-Bulk: RuBr2F at its PBEsol-relaxed geometry (SCAN).

abc: 6.174 6.174 6.174
angles: 90.00 90.00 90.00
Space group Fm-3m (No. 225)
One atom of each set of equivalent atoms:
1 Ru 0.000 0.000 0.000 [4 per cell]
2 Br 0.250 0.250 0.250 [8 per cell]
3 F 0.000 0.000 0.500 [4 per cell]

size of the total moment	0.0	μB/f.u.
V	58.84	Å³/f.u.
N(E_F)	8.1	states/eV per cell
mass density	7.90	g/cm³

---

It turns out arrangement 1 is the most stable, with the second structure 20 meV per atom higher.

---

Arrangement 1

Entry from Alexandria via LeMat-Bulk: SrBrF2 at its PBEsol-relaxed geometry (SCAN).

abc: 6.466 6.466 6.466
angles: 90.00 90.00 90.00
Space group Fm-3m (No. 225)
One atom of each set of equivalent atoms:
1 Sr 0.000 0.000 0.000 [4 per cell]
2 Br 0.000 0.000 0.500 [4 per cell]
3 F 0.250 0.250 0.250 [8 per cell]

size of the total moment	1.0	μB/f.u.
V	67.58	Å³/f.u.
N(E_F)	18.3	states/eV per cell
mass density	5.05	g/cm³

---

Arrangement 2

Entry from Alexandria via LeMat-Bulk: SrBrF2 at its PBEsol-relaxed geometry (SCAN).

abc: 3.7573 3.7573 27.0955
angles: 90.00 90.00 120.00
Space group R-3m (No. 166, hexagonal axes)
One atom of each set of equivalent atoms:
1 Sr 0.0000 0.0000 0.0000 [3 per cell]
2 Br 0.0000 0.0000 0.5000 [3 per cell]
3 F 0.0000 0.0000 0.3706 [6 per cell]

size of the total moment	1.0	μB/f.u.
V	110.42	Å³/f.u.
N(E_F)	3.4	states/eV per cell
mass density	3.09	g/cm³

---

It turns out arrangement 2 is the most stable, with the second structure 256 meV per atom higher.

---

Arrangement 1

Entry from Alexandria via LeMat-Bulk: TeBrF2 at its PBEsol-relaxed geometry (SCAN).

abc: 3.2342 3.2342 24.8871
angles: 90.00 90.00 120.00
Space group R-3m (No. 166, hexagonal axes)
One atom of each set of equivalent atoms:
1 Te 0.0000 0.0000 0.0000 [3 per cell]
2 Br 0.0000 0.0000 0.5000 [3 per cell]
3 F 0.0000 0.0000 0.4210 [6 per cell]

size of the total moment	0.0	μB/f.u.
V	75.15	Å³/f.u.
N(E_F)	7.6	states/eV per cell
mass density	5.42	g/cm³

---

Arrangement 2

Entry from Alexandria via LeMat-Bulk: TeBrF2 at its PBEsol-relaxed geometry (SCAN).

abc: 6.237 6.237 6.237
angles: 90.00 90.00 90.00
Space group Fm-3m (No. 225)
One atom of each set of equivalent atoms:
1 Te 0.000 0.000 0.000 [4 per cell]
2 Br 0.000 0.000 0.500 [4 per cell]
3 F 0.250 0.250 0.250 [8 per cell]

size of the total moment	0.0	μB/f.u.
V	60.67	Å³/f.u.
N(E_F)	11.4	states/eV per cell
mass density	6.72	g/cm³

---

It turns out arrangement 2 is the most stable, with the second structure 25 meV per atom higher.